Below is an optimized crystal structure of Pm2NdHg2, with properties calculated at the PBE-GGA level.

POSCAR file:
```
Pm2NdHg2
1.0
3.799 0.000 -0.510
0.000 5.477 0.000
-0.050 0.000 14.096
Pm Nd Hg
4 2 4
direct
0.048 0.750 0.094
0.952 0.250 0.906
0.235 0.750 0.471
0.765 0.250 0.529
0.854 0.750 0.709
0.146 0.250 0.291
0.643 0.750 0.287
0.357 0.250 0.713
0.451 0.750 0.904
0.549 0.250 0.096
```

* E_tot: -0.2464 Ry/atom
* formation energy from the elements: -0.3778 eV/atom
* ΔE to the lowest computed polymorph: 0.0 meV/atom
* SG: P2_1/m, No. 11